# B3PdN3 (PBE, relaxed)
data_B3PdN3
_chemical_formula_sum 'B6 Pd2 N6'
_cell_length_a 4.662
_cell_length_b 4.662
_cell_length_c 4.662
_cell_angle_alpha 90.00
_cell_angle_beta 90.00
_cell_angle_gamma 90.00
_symmetry_space_group_name_H-M 'P m -3 n'
_symmetry_Int_Tables_number 223
_symmetry_space_group_name_Hall '-P 4n 2 3'
loop_
_atom_site_label
_atom_site_type_symbol
_atom_site_fract_x
_atom_site_fract_y
_atom_site_fract_z
_atom_site_occupancy
B1 B 0.000 0.250 0.500 1
Pd1 Pd 0.000 0.000 0.000 1
N1 N 0.000 0.500 0.250 1
# Formation energy without anion corrections (meV per atom): -40
# Total DFT energy (no corrections) (eV/atom): -7.212

---

# AcTeS3 (PBE, relaxed)
data_AcTeS3
_chemical_formula_sum 'Ac2 Te2 S6'
_cell_length_a 4.467
_cell_length_b 8.143
_cell_length_c 8.815
_cell_angle_alpha 62.69
_cell_angle_beta 87.79
_cell_angle_gamma 87.00
_symmetry_space_group_name_H-M 'P -1'
_symmetry_Int_Tables_number 2
_symmetry_space_group_name_Hall '-P 1'
loop_
_atom_site_label
_atom_site_type_symbol
_atom_site_fract_x
_atom_site_fract_y
_atom_site_fract_z
_atom_site_occupancy
Ac1 Ac 0.231 0.012 0.260 1
Te1 Te 0.002 0.547 0.240 1
S1 S 0.250 0.309 0.610 1
S2 S 0.275 0.822 0.028 1
S3 S 0.292 0.808 0.637 1
# Energy above the most stable polymorph in this dataset (eV/atom): 0.002
# Formation energy without anion corrections (meV per atom): -946
# Total DFT energy (no corrections) (eV/atom): -4.872

---

| no. | magnetization (μB per formula unit) | theoretical density (g cm⁻³) |
| --- | --- | --- |
| 1 | 0.000 | 5.9 |
| 2 | 0.000 | 5.3 |